Entry 1:
First-principles (meta-GGA SCAN) data for Hg2AsPb at its PBEsol-relaxed geometry, as listed in Alexandria via LeMat-Bulk.

```
data_Hg2AsPb
_chemical_formula_sum 'Hg2 As1 Pb1'
_cell_length_a 4.176
_cell_length_b 4.176
_cell_length_c 7.244
_cell_angle_alpha 107.29
_cell_angle_beta 107.29
_cell_angle_gamma 60.40
_symmetry_space_group_name_H-M 'P 1'
_symmetry_Int_Tables_number 1
loop_
_symmetry_equiv_pos_as_xyz
'x,y,z'
loop_
_atom_site_label
_atom_site_type_symbol
_atom_site_fract_x
_atom_site_fract_y
_atom_site_fract_z
Hg1 Hg 0.000 0.000 0.000
Hg2 Hg 0.749 0.749 0.247
As1 As 0.260 0.260 0.778
Pb1 Pb 0.516 0.516 0.551
```

The relative energy among the computed polymorphs comes out at 0.00 eV/f.u. The formation energy is 0.044 eV per atom. Its density of states at the Fermi level is 1.4 states/eV/cell. The calculation puts the energy at -58.032 eV per atom. As for the space-group type: Cm (8).

Entry 2:
First-principles (meta-GGA SCAN) data for Hg2AsPb at its PBEsol-relaxed geometry, as listed in Alexandria via LeMat-Bulk.

```
data_Hg2AsPb
_chemical_formula_sum 'Hg2 As1 Pb1'
_cell_length_a 3.492
_cell_length_b 3.492
_cell_length_c 7.814
_cell_angle_alpha 90.00
_cell_angle_beta 90.00
_cell_angle_gamma 92.00
_symmetry_space_group_name_H-M 'P 1'
_symmetry_Int_Tables_number 1
loop_
_symmetry_equiv_pos_as_xyz
'x,y,z'
loop_
_atom_site_label
_atom_site_type_symbol
_atom_site_fract_x
_atom_site_fract_y
_atom_site_fract_z
Hg1 Hg 0.000 0.000 0.000
Hg2 Hg 0.500 0.500 0.240
As1 As 0.500 0.500 0.771
Pb1 Pb 0.000 0.000 0.536
```

The relative energy among the computed polymorphs comes out at 0.57 eV/f.u. The formation energy is 0.187 eV per atom. Its density of states at the Fermi level is 1.8 states/eV/cell. The calculation puts the energy at -57.889 eV per atom. As for the space-group type: Cmm2 (35).

Entry 3:
First-principles (meta-GGA SCAN) data for Hg2AsPb at its PBEsol-relaxed geometry, as listed in Alexandria via LeMat-Bulk.

```
data_Hg2AsPb
_chemical_formula_sum 'Hg2 As1 Pb1'
_cell_length_a 4.190
_cell_length_b 4.319
_cell_length_c 5.276
_cell_angle_alpha 90.00
_cell_angle_beta 90.00
_cell_angle_gamma 90.00
_symmetry_space_group_name_H-M 'P 1'
_symmetry_Int_Tables_number 1
loop_
_symmetry_equiv_pos_as_xyz
'x,y,z'
loop_
_atom_site_label
_atom_site_type_symbol
_atom_site_fract_x
_atom_site_fract_y
_atom_site_fract_z
Hg1 Hg 0.000 0.000 0.000
Hg2 Hg 0.500 0.500 0.000
As1 As 0.000 0.500 0.500
Pb1 Pb 0.500 0.000 0.500
```

The relative energy among the computed polymorphs comes out at 0.64 eV/f.u. The formation energy is 0.204 eV per atom. Its density of states at the Fermi level is 1.9 states/eV/cell. The calculation puts the energy at -57.872 eV per atom. As for the space-group type: Pmmm (47).

Entry 4:
First-principles (meta-GGA SCAN) data for HgAsPb2S at its PBEsol-relaxed geometry, as listed in Alexandria via LeMat-Bulk.

```
data_HgAsPb2S
_chemical_formula_sum 'Hg1 As1 Pb2 S1'
_cell_length_a 5.699
_cell_length_b 5.699
_cell_length_c 4.652
_cell_angle_alpha 90.00
_cell_angle_beta 90.00
_cell_angle_gamma 90.00
_symmetry_space_group_name_H-M 'P 1'
_symmetry_Int_Tables_number 1
loop_
_symmetry_equiv_pos_as_xyz
'x,y,z'
loop_
_atom_site_label
_atom_site_type_symbol
_atom_site_fract_x
_atom_site_fract_y
_atom_site_fract_z
Hg1 Hg 0.000 0.000 0.000
As1 As 0.500 0.500 0.500
Pb1 Pb 0.000 0.500 0.000
Pb2 Pb 0.500 0.000 0.000
S1 S 0.000 0.000 0.500
```

Its density of states at the Fermi level is 3.3 states/eV/cell. The calculation puts the energy at -49.235 eV per atom. As for the space-group type: P4/mmm (123). The raw formation energy is 0.6744 eV per atom.

Entry 5:
First-principles (meta-GGA SCAN) data for HgAs2PbSe at its PBEsol-relaxed geometry, as listed in Alexandria via LeMat-Bulk.

```
data_HgAs2PbSe
_chemical_formula_sum 'Hg1 As2 Pb1 Se1'
_cell_length_a 5.400
_cell_length_b 5.400
_cell_length_c 5.372
_cell_angle_alpha 90.00
_cell_angle_beta 90.00
_cell_angle_gamma 90.00
_symmetry_space_group_name_H-M 'P 1'
_symmetry_Int_Tables_number 1
loop_
_symmetry_equiv_pos_as_xyz
'x,y,z'
loop_
_atom_site_label
_atom_site_type_symbol
_atom_site_fract_x
_atom_site_fract_y
_atom_site_fract_z
Hg1 Hg 0.000 0.000 0.000
As1 As 0.000 0.500 0.500
As2 As 0.500 0.000 0.500
Pb1 Pb 0.500 0.500 0.500
Se1 Se 0.500 0.500 0.000
```

Its density of states at the Fermi level is 3.4 states/eV/cell. The calculation puts the energy at -39.971 eV per atom. As for the space-group type: P4/mmm (123). The raw formation energy is 0.9101 eV per atom.

Entry 6:
First-principles (meta-GGA SCAN) data for HgAsPd5 at its PBEsol-relaxed geometry, as listed in Alexandria via LeMat-Bulk.

```
data_HgAsPd5
_chemical_formula_sum 'Hg1 As1 Pd5'
_cell_length_a 3.984
_cell_length_b 3.984
_cell_length_c 7.004
_cell_angle_alpha 90.00
_cell_angle_beta 90.00
_cell_angle_gamma 90.00
_symmetry_space_group_name_H-M 'P 1'
_symmetry_Int_Tables_number 1
loop_
_symmetry_equiv_pos_as_xyz
'x,y,z'
loop_
_atom_site_label
_atom_site_type_symbol
_atom_site_fract_x
_atom_site_fract_y
_atom_site_fract_z
Hg1 Hg 0.000 0.000 0.000
As1 As 0.500 0.500 0.500
Pd1 Pd 0.000 0.500 0.291
Pd2 Pd 0.000 0.500 0.709
Pd3 Pd 0.500 0.000 0.291
Pd4 Pd 0.500 0.000 0.709
Pd5 Pd 0.500 0.500 0.000
```

The formation energy is -0.356 eV per atom. Its density of states at the Fermi level is 2.5 states/eV/cell. The calculation puts the energy at -36.389 eV per atom. As for the space-group type: P4/mmm (123).

Entry 7:
First-principles (meta-GGA SCAN) data for HgAsPt2 at its PBEsol-relaxed geometry, as listed in Alexandria via LeMat-Bulk.

```
data_HgAsPt2
_chemical_formula_sum 'Hg1 As1 Pt2'
_cell_length_a 3.045
_cell_length_b 3.045
_cell_length_c 8.567
_cell_angle_alpha 100.44
_cell_angle_beta 100.44
_cell_angle_gamma 59.88
_symmetry_space_group_name_H-M 'P 1'
_symmetry_Int_Tables_number 1
loop_
_symmetry_equiv_pos_as_xyz
'x,y,z'
loop_
_atom_site_label
_atom_site_type_symbol
_atom_site_fract_x
_atom_site_fract_y
_atom_site_fract_z
Hg1 Hg 0.000 0.000 0.000
As1 As 0.500 0.500 0.500
Pt1 Pt 0.244 0.244 0.728
Pt2 Pt 0.756 0.756 0.272
```

The formation energy is -0.012 eV per atom. Its density of states at the Fermi level is 2.0 states/eV/cell. The calculation puts the energy at -57.198 eV per atom. As for the space-group type: C2/m (12).

Entry 8:
First-principles (meta-GGA SCAN) data for HgAs2Pt at its PBEsol-relaxed geometry, as listed in Alexandria via LeMat-Bulk.

```
data_HgAs2Pt
_chemical_formula_sum 'Hg1 As2 Pt1'
_cell_length_a 2.819
_cell_length_b 3.420
_cell_length_c 8.028
_cell_angle_alpha 90.00
_cell_angle_beta 90.00
_cell_angle_gamma 90.00
_symmetry_space_group_name_H-M 'P 1'
_symmetry_Int_Tables_number 1
loop_
_symmetry_equiv_pos_as_xyz
'x,y,z'
loop_
_atom_site_label
_atom_site_type_symbol
_atom_site_fract_x
_atom_site_fract_y
_atom_site_fract_z
Hg1 Hg 0.000 0.000 0.000
As1 As 0.500 0.500 0.307
As2 As 0.500 0.500 0.693
Pt1 Pt 0.000 0.000 0.500
```

The formation energy is 0.013 eV per atom. Its density of states at the Fermi level is 1.2 states/eV/cell. The calculation puts the energy at -44.672 eV per atom. As for the space-group type: Pmmm (47).

Entry 9:
First-principles (meta-GGA SCAN) data for HgAs2Pt at its PBEsol-relaxed geometry, as listed in Alexandria via LeMat-Bulk.

```
data_HgAs2Pt
_chemical_formula_sum 'Hg1 As2 Pt1'
_cell_length_a 4.696
_cell_length_b 4.696
_cell_length_c 4.696
_cell_angle_alpha 60.00
_cell_angle_beta 60.00
_cell_angle_gamma 60.00
_symmetry_space_group_name_H-M 'P 1'
_symmetry_Int_Tables_number 1
loop_
_symmetry_equiv_pos_as_xyz
'x,y,z'
loop_
_atom_site_label
_atom_site_type_symbol
_atom_site_fract_x
_atom_site_fract_y
_atom_site_fract_z
Hg1 Hg 0.000 0.000 0.000
As1 As 0.250 0.250 0.250
As2 As 0.500 0.500 0.500
Pt1 Pt 0.750 0.750 0.750
```

The formation energy is 0.400 eV per atom. Its density of states at the Fermi level is 2.3 states/eV/cell. The calculation puts the energy at -44.286 eV per atom. As for the space-group type: F-43m (216).

Entry 10:
First-principles (meta-GGA SCAN) data for Hg2AsPt at its PBEsol-relaxed geometry, as listed in Alexandria via LeMat-Bulk.

```
data_Hg2AsPt
_chemical_formula_sum 'Hg2 As1 Pt1'
_cell_length_a 2.924
_cell_length_b 2.924
_cell_length_c 8.948
_cell_angle_alpha 90.00
_cell_angle_beta 90.00
_cell_angle_gamma 91.14
_symmetry_space_group_name_H-M 'P 1'
_symmetry_Int_Tables_number 1
loop_
_symmetry_equiv_pos_as_xyz
'x,y,z'
loop_
_atom_site_label
_atom_site_type_symbol
_atom_site_fract_x
_atom_site_fract_y
_atom_site_fract_z
Hg1 Hg 0.000 0.000 0.226
Hg2 Hg 0.000 0.000 0.774
As1 As 0.500 0.500 0.500
Pt1 Pt 0.500 0.500 0.000
```

The formation energy is 0.311 eV per atom. Its density of states at the Fermi level is 1.6 states/eV/cell. The calculation puts the energy at -56.368 eV per atom. As for the space-group type: Cmmm (65).